The following is a DFT calculation (PBE-GGA) of a geometry-optimized ZrRe2Tc structure.

Cell and atoms, written as CIF:
```
data_ZrRe2Tc
_cell_length_a 2.830
_cell_length_b 3.877
_cell_length_c 6.092
_cell_angle_alpha 90.00
_cell_angle_beta 90.00
_cell_angle_gamma 90.00
_symmetry_space_group_name_H-M 'P m m m'
_symmetry_Int_Tables_number 47
loop_
_symmetry_equiv_pos_as_xyz
'x,y,z'
'-x,-y,-z'
'-x,-y,z'
'x,y,-z'
'x,-y,-z'
'-x,y,z'
'-x,y,-z'
'x,-y,z'
loop_
_atom_site_label
_atom_site_fract_x
_atom_site_fract_y
_atom_site_fract_z
_atom_site_occupancy
Zr1 0.000 0.000 0.000 1
Re1 0.500 0.500 0.285 1
Tc1 0.000 0.000 0.500 1
```

Distance to the lowest polymorph of the same formula, meV per atom: 232.4
N(E_F), states/eV/f.u.: 3.55
Formation energy from the elements, meV per atom: 166
E, eV per atom: -10.7869